No. 1
VASP calculation (PBE) on MgRe2Ru after structural relaxation.

abc: 2.7210 2.7210 9.0979
angles: 90.00 90.00 114.28
Sites, in units of the cell vectors:
1 Mg 0.0000 0.0000 0.0000
2 Re 0.0000 0.0000 0.4911
3 Re 0.5000 0.5000 0.7358
4 Ru 0.5000 0.5000 0.2495

Summary:
For the total energy, the calculation gives -0.3185 hartree per atom. Its formation enthalpy at 0 K is 1.10 eV/f.u. The size of the total moment is 0.00 μB/f.u. The density is 13.5 Mg/m³.

No. 2
VASP calculation (PBE) on BaBO2F after structural relaxation.

abc: 3.5565 3.5565 4.4639
angles: 90.00 90.00 90.00
Sites, in units of the cell vectors:
1 Ba 0.0000 0.0000 0.0000
2 B 0.5000 0.5000 0.5000
3 O 0.0000 0.5000 0.5000
4 O 0.5000 0.0000 0.5000
5 F 0.5000 0.5000 0.0000

Summary:
For the total energy, the calculation gives -0.2133 hartree per atom. The size of the total moment is 0.00 μB/f.u. As for the uncorrected formation energy: -832 kJ/mol of formula units. The density is 5.9 Mg/m³.

No. 3
VASP calculation (PBE) on Na3Li12Ag after structural relaxation.

abc: 4.5572 4.5572 17.0585
angles: 90.00 90.00 90.00
Sites, in units of the cell vectors:
1 Na 0.0000 0.0000 0.0000
2 Na 0.0000 0.0000 0.2701
3 Na 0.0000 0.0000 0.7299
4 Li 0.0000 0.5000 0.1336
5 Li 0.0000 0.5000 0.4012
6 Li 0.0000 0.5000 0.5988
7 Li 0.0000 0.5000 0.8664
8 Li 0.5000 0.0000 0.1336
9 Li 0.5000 0.0000 0.4012
10 Li 0.5000 0.0000 0.5988
11 Li 0.5000 0.0000 0.8664
12 Li 0.5000 0.5000 0.0000
13 Li 0.5000 0.5000 0.2641
14 Li 0.5000 0.5000 0.5000
15 Li 0.5000 0.5000 0.7359
16 Ag 0.0000 0.0000 0.5000

Summary:
For the total energy, the calculation gives -0.0682 hartree per atom. Its formation enthalpy at 0 K is 0.06 eV/f.u. The size of the total moment is 0.00 μB/f.u. The density is 1.2 Mg/m³.

No. 4
VASP calculation (PBE) on BaMn2Te after structural relaxation.

abc: 4.7096 4.7279 5.1610
angles: 90.00 90.00 90.00
Sites, in units of the cell vectors:
1 Ba 0.0000 0.0000 0.0000
2 Mn 0.0000 0.5000 0.5000
3 Mn 0.5000 0.0000 0.5000
4 Te 0.5000 0.5000 0.0000

Summary:
For the total energy, the calculation gives -0.2023 hartree per atom. The size of the total moment is 9.00 μB/f.u. As for the uncorrected formation energy: 134 kJ/mol of formula units. The density is 5.4 Mg/m³.

No. 5
VASP calculation (PBE) on Pm4GaTe2Au after structural relaxation.

abc: 7.4456 4.2733 7.9325
angles: 90.00 108.26 90.00
Sites, in units of the cell vectors:
1 Pm 0.2427 0.0000 0.2385
2 Pm 0.2517 0.5000 0.7646
3 Pm 0.7483 0.5000 0.2354
4 Pm 0.7573 0.0000 0.7615
5 Ga 0.0000 0.5000 0.0000
6 Te 0.0000 0.0000 0.5000
7 Te 0.5000 0.5000 0.5000
8 Au 0.5000 0.0000 0.0000

Summary:
For the total energy, the calculation gives -0.1824 hartree per atom. The size of the total moment is 0.00 μB/f.u. As for the uncorrected formation energy: -784 kJ/mol of formula units. The density is 7.6 Mg/m³.

No. 6
VASP calculation (PBE) on CoTcNi2 after structural relaxation.

abc: 2.5310 3.7091 5.0371
angles: 90.00 90.00 90.00
Sites, in units of the cell vectors:
1 Co 0.0000 0.0000 0.0000
2 Tc 0.0000 0.0000 0.5000
3 Ni 0.5000 0.5000 0.2446
4 Ni 0.5000 0.5000 0.7554

Summary:
For the total energy, the calculation gives -0.2641 hartree per atom. Its formation enthalpy at 0 K is 0.29 eV/f.u. The size of the total moment is 2.11 μB/f.u. The excess energy over the best structure of this formula in the dataset is 14.8 kJ/mol of formula units. The density is 9.6 Mg/m³.

No. 7
VASP calculation (PBE) on NaPrHoTl after structural relaxation.

abc: 5.4967 5.4967 5.4967
angles: 60.00 60.00 60.00
Sites, in units of the cell vectors:
1 Na 0.0000 0.0000 0.0000
2 Pr 0.2500 0.2500 0.2500
3 Ho 0.7500 0.7500 0.7500
4 Tl 0.5000 0.5000 0.5000

Summary:
For the total energy, the calculation gives -0.1224 hartree per atom. Its formation enthalpy at 0 K is -0.28 eV/f.u. The size of the total moment is 0.00 μB/f.u. The density is 7.5 Mg/m³.

No. 8
VASP calculation (PBE) on CaCdMo2 after structural relaxation.

abc: 2.7795 2.7795 9.9260
angles: 90.00 90.00 94.91
Sites, in units of the cell vectors:
1 Ca 0.0000 0.0000 0.0000
2 Cd 0.0000 0.0000 0.5000
3 Mo 0.5000 0.5000 0.2654
4 Mo 0.5000 0.5000 0.7346

Summary:
For the total energy, the calculation gives -0.2019 hartree per atom. Its formation enthalpy at 0 K is 2.61 eV/f.u. The size of the total moment is 0.00 μB/f.u. The density is 7.5 Mg/m³.

No. 9
VASP calculation (PBE) on VSiIr2 after structural relaxation.

abc: 3.9432 3.9432 3.5532
angles: 90.00 90.00 90.00
Sites, in units of the cell vectors:
1 V 0.0000 0.0000 0.0000
2 Si 0.5000 0.5000 0.0000
3 Ir 0.0000 0.5000 0.5000
4 Ir 0.5000 0.0000 0.5000

Summary:
For the total energy, the calculation gives -0.3114 hartree per atom. The size of the total moment is 1.25 μB/f.u. As for the uncorrected formation energy: -157 kJ/mol of formula units. The density is 13.9 Mg/m³.

No. 10
VASP calculation (PBE) on Y2Tc3Ir after structural relaxation.

abc: 5.2307 5.2307 5.5735
angles: 118.00 118.00 60.16
Sites, in units of the cell vectors:
1 Y 0.1241 0.1241 0.3724
2 Y 0.8759 0.8759 0.6276
3 Tc 0.0000 0.5000 0.0000
4 Tc 0.5000 0.0000 0.0000
5 Tc 0.5000 0.5000 0.0000
6 Ir 0.5000 0.5000 0.5000

Summary:
For the total energy, the calculation gives -0.3366 hartree per atom. Its formation enthalpy at 0 K is -2.07 eV/f.u. The size of the total moment is 0.00 μB/f.u. The density is 9.9 Mg/m³.

No. 11
VASP calculation (PBE) on CsCa after structural relaxation.

abc: 19.6400 4.2768 10.7158
angles: 90.00 90.00 90.00
Sites, in units of the cell vectors:
1 Cs 0.0000 0.2365 0.0000
2 Cs 0.2085 0.7563 0.2997
3 Cs 0.2915 0.2437 0.7997
4 Cs 0.5000 0.7635 0.5000
5 Cs 0.7085 0.2437 0.7997
6 Cs 0.7915 0.7563 0.2997
7 Ca 0.0000 0.2410 0.4193
8 Ca 0.0953 0.7391 0.6592
9 Ca 0.4047 0.2609 0.1592
10 Ca 0.5000 0.7590 0.9193
11 Ca 0.5953 0.2609 0.1592
12 Ca 0.9047 0.7391 0.6592

Summary:
For the total energy, the calculation gives -0.0436 hartree per atom. Its formation enthalpy at 0 K is 0.48 eV/f.u. The size of the total moment is 0.00 μB/f.u. The density is 1.9 Mg/m³.

No. 12
VASP calculation (PBE) on Ir2OsRu after structural relaxation.

abc: 4.7288 4.7288 2.7196
angles: 90.00 90.00 109.80
Sites, in units of the cell vectors:
1 Ir 0.0000 0.5000 0.0000
2 Ir 0.5000 0.0000 0.0000
3 Os 0.0000 0.0000 0.5000
4 Ru 0.5000 0.5000 0.5000

Summary:
For the total energy, the calculation gives -0.3505 hartree per atom. Its formation enthalpy at 0 K is 0.08 eV/f.u. The size of the total moment is 0.00 μB/f.u. The excess energy over the best structure of this formula in the dataset is 6.1 kJ/mol of formula units. The density is 19.6 Mg/m³.

No. 13
VASP calculation (PBE) on RbBeSb2Te after structural relaxation.

abc: 6.1498 6.1498 6.1895
angles: 90.00 90.00 90.00
Sites, in units of the cell vectors:
1 Rb 0.0000 0.0000 0.0000
2 Be 0.5000 0.5000 0.5000
3 Sb 0.0000 0.5000 0.0000
4 Sb 0.5000 0.0000 0.0000
5 Te 0.0000 0.0000 0.5000

Summary:
For the total energy, the calculation gives -0.0530 hartree per atom. The size of the total moment is 0.03 μB/f.u. As for the uncorrected formation energy: 856 kJ/mol of formula units. The excess energy over the best structure of this formula in the dataset is 795.5 kJ/mol of formula units. The density is 3.3 Mg/m³.

No. 14
VASP calculation (PBE) on Tb6Y3Er2Th after structural relaxation.

abc: 6.1583 6.1583 11.8133
angles: 94.98 94.98 119.96
Sites, in units of the cell vectors:
1 Tb 0.0836 0.4139 0.7480
2 Tb 0.2467 0.2467 0.2521
3 Tb 0.4139 0.0836 0.7480
4 Tb 0.5861 0.9164 0.2520
5 Tb 0.7533 0.7533 0.7479
6 Tb 0.9164 0.5861 0.2520
7 Y 0.1673 0.8327 0.0000
8 Y 0.5000 0.5000 0.0000
9 Y 0.8327 0.1673 0.0000
10 Er 0.3333 0.6667 0.5000
11 Er 0.6667 0.3333 0.5000
12 Th 0.0000 0.0000 0.5000

Summary:
For the total energy, the calculation gives -0.1942 hartree per atom. Its formation enthalpy at 0 K is 0.30 eV/f.u. The size of the total moment is 0.00 μB/f.u. The density is 7.8 Mg/m³.

No. 15
VASP calculation (PBE) on CaYLu2 after structural relaxation.

abc: 12.1116 12.1116 12.1116
angles: 16.89 16.89 16.89
Sites, in units of the cell vectors:
1 Ca 0.0000 0.0000 0.0000
2 Y 0.5000 0.5000 0.5000
3 Lu 0.2453 0.2453 0.2453
4 Lu 0.7547 0.7547 0.7547

Summary:
For the total energy, the calculation gives -0.1574 hartree per atom. Its formation enthalpy at 0 K is 0.38 eV/f.u. The size of the total moment is 0.00 μB/f.u. The excess energy over the best structure of this formula in the dataset is 0.0 kJ/mol of formula units. The density is 6.1 Mg/m³.

No. 16
VASP calculation (PBE) on Rb2AgO3 after structural relaxation.

abc: 6.5557 6.5557 5.9494
angles: 90.00 90.00 71.88
Sites, in units of the cell vectors:
1 Rb 0.0183 0.3121 0.2500
2 Rb 0.3121 0.0183 0.7500
3 Rb 0.6879 0.9817 0.2500
4 Rb 0.9817 0.6879 0.7500
5 Ag 0.4697 0.5303 0.2500
6 Ag 0.5303 0.4697 0.7500
7 O 0.1474 0.8526 0.2500
8 O 0.3695 0.3695 0.0000
9 O 0.3695 0.3695 0.5000
10 O 0.6305 0.6305 0.0000
11 O 0.6305 0.6305 0.5000
12 O 0.8526 0.1474 0.7500

Summary:
For the total energy, the calculation gives -0.1415 hartree per atom. The size of the total moment is 1.02 μB/f.u. As for the uncorrected formation energy: -332 kJ/mol of formula units. The density is 4.5 Mg/m³.

No. 17
VASP calculation (PBE) on Li2CaDy after structural relaxation.

abc: 3.8057 3.8057 7.7275
angles: 90.00 90.00 90.00
Sites, in units of the cell vectors:
1 Li 0.0000 0.0000 0.2360
2 Li 0.0000 0.0000 0.7640
3 Ca 0.5000 0.5000 0.5000
4 Dy 0.5000 0.5000 0.0000

Summary:
For the total energy, the calculation gives -0.0919 hartree per atom. Its formation enthalpy at 0 K is 0.43 eV/f.u. The size of the total moment is 0.00 μB/f.u. The excess energy over the best structure of this formula in the dataset is 0.0 kJ/mol of formula units. The density is 3.2 Mg/m³.

No. 18
VASP calculation (PBE) on HgPdNF2 after structural relaxation.

abc: 4.4084 4.4084 3.8073
angles: 90.00 90.00 90.00
Sites, in units of the cell vectors:
1 Hg 0.0000 0.0000 0.0000
2 Pd 0.5000 0.5000 0.5000
3 N 0.5000 0.5000 0.0000
4 F 0.0000 0.5000 0.5000
5 F 0.5000 0.0000 0.5000

Summary:
For the total energy, the calculation gives -0.1327 hartree per atom. The size of the total moment is 0.00 μB/f.u. As for the uncorrected formation energy: -48 kJ/mol of formula units. The excess energy over the best structure of this formula in the dataset is 0.0 kJ/mol of formula units. The density is 8.1 Mg/m³.

No. 19
VASP calculation (PBE) on TiCuOs2 after structural relaxation.

abc: 4.2998 4.2998 4.2998
angles: 60.00 60.00 60.00
Sites, in units of the cell vectors:
1 Ti 0.0000 0.0000 0.0000
2 Cu 0.5000 0.5000 0.5000
3 Os 0.2500 0.2500 0.2500
4 Os 0.7500 0.7500 0.7500

Summary:
For the total energy, the calculation gives -0.3148 hartree per atom. Its formation enthalpy at 0 K is 0.19 eV/f.u. The size of the total moment is 0.00 μB/f.u. The excess energy over the best structure of this formula in the dataset is 0.0 kJ/mol of formula units. The density is 14.5 Mg/m³.

No. 20
VASP calculation (PBE) on K2Ag2Hg after structural relaxation.

abc: 6.2166 6.2166 6.2166
angles: 116.46 116.46 96.25
Sites, in units of the cell vectors:
1 K 0.2500 0.7500 0.5000
2 K 0.7500 0.2500 0.5000
3 Ag 0.1617 0.1617 0.0000
4 Ag 0.8383 0.8383 0.0000
5 Hg 0.5000 0.5000 0.0000

Summary:
For the total energy, the calculation gives -0.0596 hartree per atom. Its formation enthalpy at 0 K is 0.09 eV/f.u. The size of the total moment is 0.00 μB/f.u. The excess energy over the best structure of this formula in the dataset is 49.3 kJ/mol of formula units. The density is 4.6 Mg/m³.

No. 21
VASP calculation (PBE) on LaPr2GaO after structural relaxation.

abc: 4.9841 4.9841 4.9669
angles: 90.00 90.00 90.00
Sites, in units of the cell vectors:
1 La 0.0000 0.0000 0.0000
2 Pr 0.0000 0.5000 0.5000
3 Pr 0.5000 0.0000 0.5000
4 Ga 0.5000 0.5000 0.0000
5 O 0.0000 0.0000 0.5000

Summary:
For the total energy, the calculation gives -0.2152 hartree per atom. The size of the total moment is 0.00 μB/f.u. As for the uncorrected formation energy: -656 kJ/mol of formula units. The density is 6.8 Mg/m³.

No. 22
VASP calculation (PBE) on CaAcPbCl after structural relaxation.

abc: 5.6057 5.6057 5.6057
angles: 60.00 60.00 60.00
Sites, in units of the cell vectors:
1 Ca 0.0000 0.0000 0.0000
2 Ac 0.5000 0.5000 0.5000
3 Pb 0.2500 0.2500 0.2500
4 Cl 0.7500 0.7500 0.7500

Summary:
For the total energy, the calculation gives -0.1444 hartree per atom. The size of the total moment is 0.00 μB/f.u. As for the uncorrected formation energy: -391 kJ/mol of formula units. The density is 6.8 Mg/m³.

No. 23
VASP calculation (PBE) on Ce2SnAs4 after structural relaxation.

abc: 3.9935 3.9935 10.9957
angles: 90.00 90.00 90.00
Sites, in units of the cell vectors:
1 Ce 0.0000 0.5000 0.2122
2 Ce 0.5000 0.0000 0.7878
3 Sn 0.0000 0.0000 0.5000
4 As 0.0000 0.0000 0.0000
5 As 0.0000 0.5000 0.6982
6 As 0.5000 0.0000 0.3018
7 As 0.5000 0.5000 0.0000

Summary:
For the total energy, the calculation gives -0.2096 hartree per atom. Its formation enthalpy at 0 K is -5.45 eV/f.u. The size of the total moment is 1.27 μB/f.u. The density is 6.6 Mg/m³.

No. 24
VASP calculation (PBE) on HfZrP after structural relaxation.

abc: 5.6589 3.5365 6.1431
angles: 90.00 90.13 90.00
Sites, in units of the cell vectors:
1 Hf 0.2208 0.2500 0.4188
2 Hf 0.7792 0.7500 0.5812
3 Zr 0.2233 0.7500 0.9146
4 Zr 0.7767 0.2500 0.0854
5 P 0.4970 0.7500 0.2526
6 P 0.5030 0.2500 0.7474

Summary:
For the total energy, the calculation gives -0.3245 hartree per atom. Its formation enthalpy at 0 K is -2.58 eV/f.u. The size of the total moment is 0.00 μB/f.u. The density is 8.1 Mg/m³.

No. 25
VASP calculation (PBE) on SrLi2Si after structural relaxation.

abc: 3.7302 4.5261 6.3628
angles: 90.00 106.80 90.00
Sites, in units of the cell vectors:
1 Sr 0.0000 0.0000 0.0000
2 Li 0.2890 0.0000 0.5693
3 Li 0.7346 0.5000 0.4615
4 Si 0.3892 0.5000 0.7752

Summary:
For the total energy, the calculation gives -0.1043 hartree per atom. The size of the total moment is 0.42 μB/f.u. As for the uncorrected formation energy: -41 kJ/mol of formula units. The density is 2.1 Mg/m³.

No. 26
VASP calculation (PBE) on Na2PuUTe4 after structural relaxation.

abc: 7.7532 4.4694 7.9576
angles: 90.00 108.84 90.00
Sites, in units of the cell vectors:
1 Na 0.0000 0.0000 0.0000
2 Na 0.5000 0.5000 0.0000
3 Pu 0.0000 0.5000 0.5000
4 U 0.5000 0.0000 0.5000
5 Te 0.2491 0.0000 0.7350
6 Te 0.2586 0.5000 0.2651
7 Te 0.7414 0.5000 0.7349
8 Te 0.7509 0.0000 0.2650

Summary:
For the total energy, the calculation gives -0.2213 hartree per atom. The size of the total moment is 8.00 μB/f.u. As for the uncorrected formation energy: -709 kJ/mol of formula units. The density is 6.6 Mg/m³.

No. 27
VASP calculation (PBE) on PmReMo after structural relaxation.

abc: 5.5288 5.5288 5.5288
angles: 120.53 119.14 90.29
Sites, in units of the cell vectors:
1 Pm 0.3731 0.1231 0.2500
2 Pm 0.6269 0.8769 0.7500
3 Re 0.0000 0.0000 0.5000
4 Re 0.0000 0.5000 0.0000
5 Mo 0.0000 0.5000 0.5000
6 Mo 0.5000 0.5000 0.0000

Summary:
For the total energy, the calculation gives -0.3409 hartree per atom. Its formation enthalpy at 0 K is 0.20 eV/f.u. The size of the total moment is 0.00 μB/f.u. The excess energy over the best structure of this formula in the dataset is 0.0 kJ/mol of formula units. The density is 11.8 Mg/m³.